Arrangement a

NiTeMoI2 | GGA-PBE | relaxed

Space group   P4/mmm, No. 123
Total magnetization   3.36 μB per formula unit
V   167.7 Å³ per cell
D(E_F)   13.99 states/eV per cell

a b c (Å): 5.671 5.671 5.215
angles (deg): 90.00 90.00 90.00
Fractional coordinates of all 5 atoms:
I 0.000 0.500 0.000
I 0.500 0.000 0.000
Ni 0.500 0.500 0.500
Mo 0.000 0.000 0.000
Te 0.000 0.000 0.500


Arrangement b

NiTeMoI2 | GGA-PBE | relaxed

Space group   P4/mmm, No. 123
Total magnetization   3.86 μB per formula unit
V   141.1 Å³ per cell
D(E_F)   5.21 states/eV per cell

a b c (Å): 5.198 5.198 5.221
angles (deg): 90.00 90.00 90.00
Fractional coordinates of all 5 atoms:
I 0.000 0.500 0.000
I 0.500 0.000 0.000
Ni 0.000 0.000 0.000
Mo 0.500 0.500 0.500
Te 0.000 0.000 0.500


arrangement b ends up most stable, edging out the next structure by 0.077 eV/atom.


Arrangement a

TiNiMoI2 | GGA-PBE | relaxed

Space group   P4/mmm, No. 123
Total magnetization   1.39 μB per formula unit
V   116.4 Å³ per cell
D(E_F)   5.15 states/eV per cell

a b c (Å): 5.033 4.594 5.033
angles (deg): 90.00 90.00 90.00
Fractional coordinates of all 5 atoms:
I 0.000 0.000 0.500
I 0.500 0.000 0.000
Ni 0.000 0.000 0.000
Mo 0.000 0.500 0.000
Ti 0.500 0.500 0.500


Arrangement b

TiNiMoI2 | GGA-PBE | relaxed

Space group   P4/mmm, No. 123
Total magnetization   2.17 μB per formula unit
V   137.3 Å³ per cell
D(E_F)   5.48 states/eV per cell

a b c (Å): 5.392 4.721 5.392
angles (deg): 90.00 90.00 90.00
Fractional coordinates of all 5 atoms:
I 0.000 0.000 0.500
I 0.500 0.000 0.000
Ni 0.500 0.500 0.500
Mo 0.000 0.500 0.000
Ti 0.000 0.000 0.000


arrangement a ends up most stable, edging out the next structure by 0.104 eV/atom.